A relaxed Pr2NdHoSc crystal. Source: Alexandria, functional GGA-PBE.

```
data_Pr2NdHoSc
_chemical_formula_sum 'Pr8 Nd4 Ho4 Sc4'
_cell_length_a 8.316
_cell_length_b 11.498
_cell_length_c 7.256
_cell_angle_alpha 90.00
_cell_angle_beta 90.00
_cell_angle_gamma 90.00
_space_group_name_H-M_alt 'C m c m'
_space_group_IT_number 63
_space_group_name_Hall '-C 2c 2'
loop_
_atom_site_label
_atom_site_type_symbol
_atom_site_fract_x
_atom_site_fract_y
_atom_site_fract_z
Pr1 Pr 0.200 0.000 0.000
Nd1 Nd 0.000 0.229 0.250
Ho1 Ho 0.000 0.242 0.750
Sc1 Sc 0.000 0.490 0.250
```

DOS at the Fermi energy in states/eV/cell: 26.42
Total moment in μB per cell: 0.000
Calculated volume in Å³/atom: 34.687
Calculated total energy in eV per atom: -4.696